First-principles (PBE) data for an optimized crystal structure of Li3SmHo2Pb3, as listed in OQMD.

Summary:
As for the total energy: -3.8873 eV/atom. As for the space group: P-6m2. For the magnetic moment, the calculation gives 0.1 Bohr magnetons per cell.

a b c (Å): 4.7539 4.7539 11.0950
angles (deg): 90.00 90.00 120.00
Sites, in units of the cell vectors:
Li 0.0000 0.0000 0.0000
Li 0.3333 0.6667 0.3068
Li 0.3333 0.6667 0.6932
Sm 0.6667 0.3333 0.5000
Ho 0.6667 0.3333 0.1605
Ho 0.6667 0.3333 0.8395
Pb 0.0000 0.0000 0.3193
Pb 0.0000 0.0000 0.6807
Pb 0.3333 0.6667 0.0000

***

First-principles (PBE) data for an optimized crystal structure of NbPb, as listed in OQMD.

Summary:
As for the total energy: -5.2775 eV/atom. As for the space group: F-43m. The energy above the most stable polymorph in this dataset comes out at 1.225 eV/atom. For the magnetic moment, the calculation gives 0.7 Bohr magnetons per cell.

a b c (Å): 4.5395 4.5395 4.5395
angles (deg): 60.00 60.00 60.00
Sites, in units of the cell vectors:
Nb 0.0000 0.0000 0.0000
Pb 0.7500 0.7500 0.7500